# Nd3Zn3Ge2 PBE optimized geometry
data_Nd3Zn3Ge2
_cell_length_a 4.2136
_cell_length_b 6.0403
_cell_length_c 15.7807
_cell_angle_alpha 90.00
_cell_angle_beta 90.00
_cell_angle_gamma 110.41
_space_group_name_H-M_alt 'P 1'
_space_group_IT_number 1
loop_
_space_group_symop_operation_xyz
'x,y,z'
loop_
_atom_site_label
_atom_site_fract_x
_atom_site_fract_y
_atom_site_fract_z
Nd1 0.5728 0.1456 0.2500
Nd2 0.8567 0.7134 0.4091
Nd3 0.1433 0.2866 0.9091
Ge1 0.8443 0.6886 0.6167
Ge2 0.1557 0.3114 0.1167
Nd4 0.8567 0.7134 0.0909
Zn1 0.3001 0.6001 0.2500
Ge3 0.1557 0.3114 0.3833
Ge4 0.8443 0.6886 0.8833
Zn2 0.5738 0.1476 0.0545
Nd5 0.4272 0.8544 0.7500
Zn3 0.4262 0.8524 0.5545
Zn4 0.4262 0.8524 0.9455
Zn5 0.5738 0.1476 0.4455
Zn6 0.6999 0.3999 0.7500
Nd6 0.1433 0.2866 0.5909
# DFT formation energy = -0.566 eV/atom
# crystal system = orthorhombic
# space-group type = Cmcm (63)